(1)
YCdAg2, optimized geometry, DFT PBE; energy of formation from the pure elements = -305 meV/atom; space-group type = I4/mmm, No. 139
1.0
-0.749 4.550 1.812
-2.427 -2.758 5.922
13.761 0.016 5.647
Ag Cd Y
12 6 6
direct
0.500 0.251 0.667
0.500 0.251 0.000
0.000 0.249 0.167
0.500 0.251 0.333
0.500 0.749 0.000
0.500 0.749 0.667
0.000 0.249 0.833
0.000 0.751 0.500
0.000 0.751 0.833
0.000 0.249 0.500
0.000 0.751 0.167
0.500 0.749 0.333
0.500 0.000 0.833
0.500 0.000 0.500
0.000 0.500 0.333
0.500 0.000 0.167
0.000 0.500 0.000
0.000 0.500 0.667
0.000 0.000 0.333
0.000 0.000 0.000
0.000 0.000 0.667
0.500 0.500 0.500
0.500 0.500 0.167
0.500 0.500 0.833

(2)
Li2Zr2In2NiPt, optimized geometry, DFT PBE; space-group type = P-4m2, No. 115
1.0
4.549 0.000 0.000
0.000 4.549 0.000
0.000 0.000 6.473
Zr Li In Pt Ni
2 2 2 1 1
direct
0.500 0.000 0.756
0.000 0.500 0.244
0.000 0.000 0.500
0.500 0.500 0.000
0.000 0.500 0.760
0.500 0.000 0.240
0.500 0.500 0.500
0.000 0.000 0.000

(3)
Li4SiBiPd2, optimized geometry, DFT PBE; space-group type = P-4m2, No. 115
1.0
-1.458 2.056 3.445
-2.282 -3.439 1.087
5.105 -2.276 3.519
Li Pd Si Bi
4 2 1 1
direct
0.500 0.500 0.000
0.500 0.000 0.281
0.000 0.500 0.719
0.000 0.000 0.500
0.000 0.500 0.295
0.500 0.000 0.705
0.500 0.500 0.500
0.000 0.000 0.000

(4)
NiMoAsPd, optimized geometry, DFT PBE; polymorph energy (0 for the lowest one) = 0 meV per atom; space-group type = F-43m, No. 216
1.0
-1.940 -3.866 -0.244
-3.805 -0.642 1.969
-3.606 -0.469 -2.355
As Pd Ni Mo
1 1 1 1
direct
0.000 0.000 0.000
0.500 0.500 0.500
0.750 0.750 0.750
0.250 0.250 0.250

(5)
ZnPb2F6, optimized geometry, DFT PBE; space-group type = P4_2/ncm, No. 138
1.0
5.583 0.000 0.000
0.000 5.583 0.000
0.000 0.000 15.826
Zn Pb F
4 8 24
direct
0.000 0.500 0.000
0.000 0.000 0.500
0.500 0.000 0.000
0.500 0.500 0.500
0.506 0.994 0.654
0.994 0.994 0.154
0.994 0.506 0.654
0.494 0.494 0.846
0.506 0.506 0.154
0.494 0.006 0.346
0.006 0.494 0.346
0.006 0.006 0.846
0.750 0.750 0.259
0.048 0.048 0.375
0.452 0.048 0.875
0.750 0.250 0.750
0.952 0.952 0.625
0.750 0.250 0.000
0.250 0.250 0.741
0.250 0.750 0.500
0.048 0.452 0.875
0.750 0.250 0.250
0.250 0.750 0.250
0.952 0.548 0.125
0.250 0.750 0.750
0.250 0.250 0.035
0.250 0.250 0.241
0.750 0.250 0.500
0.750 0.750 0.965
0.250 0.250 0.535
0.750 0.750 0.759
0.548 0.952 0.125
0.548 0.548 0.625
0.250 0.750 0.000
0.452 0.452 0.375
0.750 0.750 0.465

(6)
SrMgZn2Au, optimized geometry, DFT PBE; space-group type = I4mm, No. 107
1.0
-2.208 2.208 5.858
2.208 -2.208 5.858
2.208 2.208 -5.858
Zn Mg Au Sr
2 1 1 1
direct
0.245 0.745 0.500
0.745 0.245 0.500
0.385 0.385 0.000
0.613 0.613 0.000
0.013 0.013 0.000

(7)
LiCuWSeS2, optimized geometry, DFT PBE; space-group type = Cmcm, No. 63
1.0
1.426 3.895 5.104
-3.525 -1.334 -5.390
-6.318 -4.589 5.267
S Li Cu W Se
4 2 2 2 2
direct
0.637 0.363 0.053
0.637 0.363 0.447
0.363 0.637 0.947
0.363 0.637 0.553
0.219 0.781 0.250
0.781 0.219 0.750
0.461 0.539 0.750
0.539 0.461 0.250
0.000 0.000 0.500
0.000 0.000 0.000
0.897 0.103 0.250
0.103 0.897 0.750

(8)
Ho2ScAl3Cu2Ni, optimized geometry, DFT PBE; space-group type = Amm2, No. 38
1.0
3.923 0.000 0.000
0.000 5.984 3.428
0.000 -5.984 3.428
Cu Ho Al Sc Ni
2 2 3 1 1
direct
0.500 0.658 0.337
0.500 0.337 0.658
0.000 0.588 0.999
0.000 0.999 0.588
0.500 0.236 0.006
0.500 0.763 0.763
0.500 0.006 0.236
0.000 0.407 0.407
0.000 0.007 0.007

(9)
RbMgFeTe3, optimized geometry, DFT PBE; space-group type = P2_1/m, No. 11
1.0
9.128 0.000 0.000
0.000 4.072 0.000
-4.078 0.000 10.546
Fe Rb Mg Te
2 2 2 6
direct
0.851 0.750 0.407
0.149 0.250 0.593
0.738 0.250 0.757
0.262 0.750 0.243
0.603 0.250 0.120
0.397 0.750 0.880
0.998 0.250 0.352
0.650 0.250 0.384
0.726 0.750 0.020
0.350 0.750 0.616
0.274 0.250 0.980
0.002 0.750 0.648

(10)
Hf2CuPd3, optimized geometry, DFT PBE; energy of formation from the pure elements = -707 meV/atom; space-group type = P4mm, No. 99
1.0
3.423 0.000 0.000
0.000 3.423 0.000
0.000 0.000 8.549
Pd Hf Cu
3 2 1
direct
0.000 0.000 0.676
0.000 0.000 0.340
0.500 0.500 0.151
0.000 0.000 0.000
0.500 0.500 0.501
0.500 0.500 0.832

(11)
Gd2YCu4Sn2Ge2, optimized geometry, DFT PBE; polymorph energy (0 for the lowest one) = 68 meV per atom; space-group type = Immm, No. 71
1.0
-2.160 3.453 7.193
2.160 -3.453 7.193
2.160 3.453 -7.193
Y Cu Gd Ge Sn
1 4 2 2 2
direct
0.000 0.000 0.000
0.011 0.324 0.687
0.363 0.676 0.687
0.637 0.324 0.313
0.989 0.676 0.313
0.636 0.136 0.500
0.364 0.864 0.500
0.216 0.216 0.000
0.784 0.784 0.000
0.702 0.500 0.202
0.298 0.500 0.798

(12)
SmAlRe, optimized geometry, DFT PBE; polymorph energy (0 for the lowest one) = 0 meV per atom; space-group type = F-43m, No. 216
1.0
0.000 3.243 3.243
3.243 0.000 3.243
3.243 3.243 0.000
Re Al Sm
1 1 1
direct
0.000 0.000 0.000
0.250 0.250 0.250
0.750 0.750 0.750

(13)
PaAsPd, optimized geometry, DFT PBE; space-group type = F-43m, No. 216
1.0
-0.773 -4.476 0.184
-2.772 -1.699 3.178
-4.067 -1.655 -1.181
Pa As Pd
1 1 1
direct
0.750 0.750 0.750
0.250 0.250 0.250
0.000 0.000 0.000

(14)
NaCo3Au, optimized geometry, DFT PBE; space-group type = P6/mmm, No. 191
1.0
4.844 0.000 0.000
-2.422 4.195 0.000
0.000 0.000 7.619
Au Co Na
2 6 2
direct
0.000 0.000 0.723
0.000 0.000 0.277
0.500 0.000 0.856
0.000 0.500 0.144
0.000 0.500 0.856
0.500 0.500 0.856
0.500 0.500 0.144
0.500 0.000 0.144
0.333 0.667 0.500
0.667 0.333 0.500

(15)
ErTlNi, optimized geometry, DFT PBE; space-group type = F-43m, No. 216
1.0
0.000 3.310 3.310
3.310 0.000 3.310
3.310 3.310 0.000
Ni Er Tl
1 1 1
direct
0.750 0.750 0.750
0.250 0.250 0.250
0.000 0.000 0.000

(16)
ScCdCuGe, optimized geometry, DFT PBE; polymorph energy (0 for the lowest one) = 0 meV per atom; space-group type = F-43m, No. 216
1.0
0.000 3.298 3.298
3.298 0.000 3.298
3.298 3.298 0.000
Sc Ge Cd Cu
1 1 1 1
direct
0.250 0.250 0.250
0.000 0.000 0.000
0.500 0.500 0.500
0.750 0.750 0.750

(17)
NdAlPd, optimized geometry, DFT PBE; space-group type = P-62m, No. 189
1.0
-2.951 6.106 1.856
-3.391 -6.045 1.179
1.904 -0.291 3.985
Pd Nd Al
3 3 3
direct
0.000 0.240 0.000
0.760 0.760 0.000
0.240 0.000 0.000
0.000 0.563 0.500
0.563 0.000 0.500
0.437 0.437 0.500
0.000 0.000 0.500
0.667 0.333 0.000
0.333 0.667 0.000

(18)
RbYW, optimized geometry, DFT PBE; polymorph energy (0 for the lowest one) = 0 meV per atom; space-group type = F-43m, No. 216
1.0
0.000 3.751 3.751
3.751 0.000 3.751
3.751 3.751 0.000
Y Rb W
1 1 1
direct
0.750 0.750 0.750
0.250 0.250 0.250
0.000 0.000 0.000

(19)
LaZnNO, optimized geometry, DFT PBE; polymorph energy (0 for the lowest one) = 17 meV per atom; space-group type = Pmc2_1, No. 26
1.0
-1.757 -3.043 0.000
0.000 0.000 5.900
-4.998 2.886 0.000
Zn N La O
2 2 2 2
direct
0.000 0.008 0.732
0.000 0.508 0.268
0.000 0.791 0.450
0.000 0.291 0.550
0.500 0.532 0.713
0.500 0.032 0.287
0.500 0.922 0.892
0.500 0.422 0.108

(20)
Pr4Co3B6, optimized geometry, DFT PBE; space-group type = R-3m, No. 166
1.0
-2.681 4.643 0.000
5.361 0.000 0.000
2.681 -1.548 -7.670
Pr B Co
4 6 3
direct
0.590 0.410 0.769
0.744 0.256 0.231
0.410 0.590 0.231
0.256 0.744 0.769
0.167 0.500 0.500
0.500 0.167 0.500
0.833 0.833 0.500
0.833 0.500 0.500
0.167 0.167 0.500
0.500 0.833 0.500
0.884 0.116 0.653
0.000 0.000 0.000
0.116 0.884 0.347

| no. | total energy (eV for the cell shown) |
| --- | --- |
| 1 | -85.4 |
| 2 | -42.7 |
| 3 | -31.8 |
| 4 | -26.3 |
| 5 | -163.4 |
| 6 | -10.6 |
| 7 | -65.9 |
| 8 | -44.3 |
| 9 | -46.3 |
| 10 | -43.4 |
| 11 | -53.8 |
| 12 | -19.4 |
| 13 | -21.2 |
| 14 | -48.8 |
| 15 | -11.7 |
| 16 | -16.2 |
| 17 | -46.8 |
| 18 | -14.2 |
| 19 | -50.8 |
| 20 | -83.9 |